1.
Compound: LaAl2Re
Source: Alexandria via LeMat-Bulk
Functional: PBE-GGA
Structure: optimized geometry

abc: 6.760 6.760 6.760
angles: 90.00 90.00 90.00
Sites, in units of the cell vectors:
La1 0.000 0.000 0.000
La2 0.000 0.500 0.500
La3 0.500 0.000 0.500
La4 0.500 0.500 0.000
Al1 0.250 0.250 0.250
Al2 0.250 0.250 0.750
Al3 0.250 0.750 0.250
Al4 0.250 0.750 0.750
Al5 0.750 0.250 0.250
Al6 0.750 0.250 0.750
Al7 0.750 0.750 0.250
Al8 0.750 0.750 0.750
Re1 0.000 0.000 0.500
Re2 0.000 0.500 0.000
Re3 0.500 0.000 0.000
Re4 0.500 0.500 0.500

Summary:
The volume comes out at 308.9 Å³/cell. The energy comes out at -97.7 eV/cell. For the energy above the most stable polymorph in this dataset, the calculation gives 108 kJ/mol of formula units. Its calculated formation energy is 108 meV per atom. The theoretical density is 8.15 Mg/m³. Its spin magnetization is 0.00 μB per formula unit.



2.
Compound: Pm4Sm3Ag
Source: Alexandria via LeMat-Bulk
Functional: PBE-GGA
Structure: optimized geometry

abc: 3.651 3.651 19.351
angles: 90.00 90.00 90.00
Sites, in units of the cell vectors:
Pm1 0.000 0.000 0.101
Pm2 0.000 0.000 0.367
Pm3 0.000 0.000 0.633
Pm4 0.000 0.000 0.899
Sm1 0.500 0.500 0.235
Sm2 0.500 0.500 0.500
Sm3 0.500 0.500 0.765
Ag1 0.500 0.500 0.000

Summary:
The volume comes out at 258.0 Å³/cell. The energy comes out at -36.4 eV/cell. Its calculated formation energy is -47 meV per atom. The theoretical density is 7.33 Mg/m³. Its spin magnetization is 0.00 μB per formula unit.



3.
Compound: Re2POs
Source: Alexandria via LeMat-Bulk
Functional: PBE-GGA
Structure: optimized geometry

abc: 4.457 4.457 2.873
angles: 90.00 90.00 90.00
Sites, in units of the cell vectors:
Re1 0.000 0.500 0.000
Re2 0.500 0.000 0.000
P1 0.000 0.000 0.500
Os1 0.500 0.500 0.500

Summary:
The volume comes out at 57.1 Å³/cell. The energy comes out at -40.3 eV/cell. Its calculated formation energy is 317 meV per atom. The theoretical density is 17.27 Mg/m³. Its spin magnetization is 0.00 μB per formula unit.



4.
Compound: CuNi2Pb
Source: Alexandria via LeMat-Bulk
Functional: PBE-GGA
Structure: optimized geometry

abc: 3.848 3.848 17.464
angles: 90.00 90.00 90.00
Sites, in units of the cell vectors:
Cu1 0.000 0.000 0.000
Cu2 0.000 0.500 0.250
Cu3 0.500 0.000 0.750
Cu4 0.500 0.500 0.500
Ni1 0.196 0.250 0.125
Ni2 0.250 0.696 0.375
Ni3 0.250 0.804 0.875
Ni4 0.304 0.250 0.625
Ni5 0.696 0.750 0.625
Ni6 0.750 0.196 0.875
Ni7 0.750 0.304 0.375
Ni8 0.804 0.750 0.125
Pb1 0.000 0.000 0.500
Pb2 0.000 0.500 0.750
Pb3 0.500 0.000 0.250
Pb4 0.500 0.500 0.000

Summary:
The volume comes out at 258.6 Å³/cell. The energy comes out at -70.5 eV/cell. Its calculated formation energy is 435 meV per atom. The theoretical density is 9.97 Mg/m³. Its spin magnetization is 0.00 μB per formula unit.



5.
Compound: PuCuBiPt
Source: Alexandria via LeMat-Bulk
Functional: PBE-GGA
Structure: optimized geometry

abc: 6.952 6.952 6.952
angles: 90.00 90.00 90.00
Sites, in units of the cell vectors:
Pu1 0.000 0.000 0.000
Pu2 0.000 0.500 0.500
Pu3 0.500 0.000 0.500
Pu4 0.500 0.500 0.000
Cu1 0.250 0.250 0.750
Cu2 0.250 0.750 0.250
Cu3 0.750 0.250 0.250
Cu4 0.750 0.750 0.750
Bi1 0.000 0.000 0.500
Bi2 0.000 0.500 0.000
Bi3 0.500 0.000 0.000
Bi4 0.500 0.500 0.500
Pt1 0.250 0.250 0.250
Pt2 0.250 0.750 0.750
Pt3 0.750 0.250 0.750
Pt4 0.750 0.750 0.250

Summary:
The volume comes out at 335.9 Å³/cell. The energy comes out at -117.6 eV/cell. Its calculated formation energy is -261 meV per atom. The theoretical density is 14.07 Mg/m³. Its spin magnetization is 5.40 μB per formula unit.



6.
Compound: BeSi2Pd2
Source: Alexandria via LeMat-Bulk
Functional: PBE-GGA
Structure: optimized geometry

abc: 5.979 5.979 3.937
angles: 90.00 90.00 90.00
Sites, in units of the cell vectors:
Be1 0.000 0.000 0.000
Be2 0.500 0.500 0.000
Si1 0.134 0.366 0.000
Si2 0.366 0.866 0.000
Si3 0.634 0.134 0.000
Si4 0.866 0.634 0.000
Pd1 0.203 0.703 0.500
Pd2 0.297 0.203 0.500
Pd3 0.703 0.797 0.500
Pd4 0.797 0.297 0.500

Summary:
The volume comes out at 140.7 Å³/cell. The energy comes out at -51.0 eV/cell. For the energy above the most stable polymorph in this dataset, the calculation gives 0 kJ/mol of formula units. For the uncorrected formation energy, the calculation gives -0.6 eV per formula unit. The theoretical density is 6.56 Mg/m³. Its spin magnetization is 0.00 μB per formula unit.



7.
Compound: Rb2OsBr6O
Source: Alexandria via LeMat-Bulk
Functional: PBE-GGA
Structure: optimized geometry

abc: 7.420 7.420 7.420
angles: 113.36 113.36 101.95
Sites, in units of the cell vectors:
Rb1 0.250 0.750 0.500
Rb2 0.750 0.250 0.500
Os1 0.000 0.000 0.000
Br1 0.218 0.218 0.436
Br2 0.218 0.782 0.000
Br3 0.274 0.274 0.000
Br4 0.726 0.726 0.000
Br5 0.782 0.218 0.000
Br6 0.782 0.782 0.564
O1 0.500 0.500 0.000

Summary:
The volume comes out at 310.4 Å³/cell. The energy comes out at -33.7 eV/cell. For the uncorrected formation energy, the calculation gives -5.5 eV per formula unit. The theoretical density is 4.58 Mg/m³. Its spin magnetization is 2.85 μB per formula unit.



8.
Compound: NaZnP2O6
Source: Alexandria via LeMat-Bulk
Functional: PBE-GGA
Structure: optimized geometry

abc: 7.014 7.014 5.921
angles: 108.52 108.52 85.46
Sites, in units of the cell vectors:
Na1 0.126 0.874 0.750
Na2 0.874 0.126 0.250
Zn1 0.229 0.771 0.250
Zn2 0.771 0.229 0.750
P1 0.226 0.366 0.815
P2 0.366 0.226 0.315
P3 0.634 0.774 0.685
P4 0.774 0.634 0.185
O1 0.039 0.222 0.686
O2 0.170 0.589 0.908
O3 0.222 0.039 0.186
O4 0.306 0.369 0.553
O5 0.369 0.306 0.053
O6 0.411 0.830 0.592
O7 0.589 0.170 0.408
O8 0.631 0.694 0.947
O9 0.694 0.631 0.447
O10 0.778 0.961 0.814
O11 0.830 0.411 0.092
O12 0.961 0.778 0.314

Summary:
The volume comes out at 261.8 Å³/cell. The energy comes out at -122.3 eV/cell. For the uncorrected formation energy, the calculation gives -18.0 eV per formula unit. The theoretical density is 3.13 Mg/m³. Its spin magnetization is 0.00 μB per formula unit.



9.
Compound: ErGa4IrRh2
Source: Alexandria via LeMat-Bulk
Functional: PBE-GGA
Structure: optimized geometry

abc: 8.863 8.863 8.863
angles: 27.64 27.64 27.64
Sites, in units of the cell vectors:
Er1 0.000 0.000 0.000
Ga1 0.131 0.131 0.131
Ga2 0.397 0.397 0.397
Ga3 0.603 0.603 0.603
Ga4 0.869 0.869 0.869
Ir1 0.500 0.500 0.500
Rh1 0.238 0.238 0.238
Rh2 0.762 0.762 0.762

Summary:
The volume comes out at 132.3 Å³/cell. The energy comes out at -45.3 eV/cell. Its calculated formation energy is -633 meV per atom. The theoretical density is 10.60 Mg/m³. Its spin magnetization is 0.00 μB per formula unit.



10.
Compound: Hf2NbV
Source: Alexandria via LeMat-Bulk
Functional: PBE-GGA
Structure: optimized geometry

abc: 7.414 7.414 5.727
angles: 90.00 90.00 90.00
Sites, in units of the cell vectors:
Hf1 0.236 0.750 0.125
Hf2 0.250 0.236 0.875
Hf3 0.250 0.264 0.375
Hf4 0.264 0.750 0.625
Hf5 0.736 0.250 0.625
Hf6 0.750 0.736 0.375
Hf7 0.750 0.764 0.875
Hf8 0.764 0.250 0.125
Nb1 0.000 0.000 0.500
Nb2 0.000 0.500 0.750
Nb3 0.500 0.000 0.250
Nb4 0.500 0.500 0.000
V1 0.000 0.000 0.000
V2 0.000 0.500 0.250
V3 0.500 0.000 0.750
V4 0.500 0.500 0.500

Summary:
The volume comes out at 314.8 Å³/cell. The energy comes out at -146.1 eV/cell. For the energy above the most stable polymorph in this dataset, the calculation gives 197 kJ/mol of formula units. Its calculated formation energy is 641 meV per atom. The theoretical density is 10.57 Mg/m³. Its spin magnetization is 0.45 μB per formula unit.



11.
Compound: MnNbCu2Pd
Source: Alexandria via LeMat-Bulk
Functional: PBE-GGA
Structure: optimized geometry

abc: 4.726 4.726 4.836
angles: 90.00 90.00 90.00
Sites, in units of the cell vectors:
Mn1 0.000 0.000 0.000
Nb1 0.500 0.500 0.500
Cu1 0.000 0.500 0.500
Cu2 0.500 0.000 0.500
Pd1 0.500 0.500 0.000

Summary:
The volume comes out at 108.0 Å³/cell. The energy comes out at -25.9 eV/cell. Its calculated formation energy is 1343 meV per atom. The theoretical density is 5.86 Mg/m³. Its spin magnetization is 4.36 μB per formula unit.



12.
Compound: LiPt4Br
Source: Alexandria via LeMat-Bulk
Functional: PBE-GGA
Structure: optimized geometry

abc: 5.368 5.368 5.368
angles: 60.00 60.00 60.00
Sites, in units of the cell vectors:
Li1 0.000 0.000 0.000
Pt1 0.123 0.626 0.626
Pt2 0.626 0.123 0.626
Pt3 0.626 0.626 0.123
Pt4 0.626 0.626 0.626
Br1 0.250 0.250 0.250

Summary:
The volume comes out at 109.4 Å³/cell. The energy comes out at -26.8 eV/cell. For the uncorrected formation energy, the calculation gives 0.9 eV per formula unit. The theoretical density is 13.17 Mg/m³. Its spin magnetization is 0.00 μB per formula unit.



N(E_F) per entry: 5.67; 11.11; 3.41; 2.76; 13.68; 1.51; 4.20; 1.26; 2.14; 4.74; 5.16; 7.27 states/eV/f.u.